(1)
First-principles (PBE) data for a relaxed structure of ErScBeIr, as listed in Alexandria.

Cell and atoms, written as extended XYZ:
```
4
Lattice="4.6772 0.0000 0.0000 2.3386 4.0506 0.0000 2.3386 1.3502 3.8190" Properties=species:S:1:pos:R:3 pbc="T T T"
Er 7.0159 4.0506 2.8642
Ir 0.0000 0.0000 0.0000
Sc 2.3386 1.3502 0.9547
Be 4.6772 2.7004 1.9095
```

Values from the calculation:
uncorrected energy = -25.4 eV for the cell shown
ΔH_f (0 K) = -0.481 eV/atom

---

(2)
First-principles (PBE) data for a relaxed structure of Er2BeSi3Ir4, as listed in Alexandria.

Cell and atoms, written as extended XYZ:
```
10
Lattice="-2.6415 -0.6484 3.0496 -2.5151 -1.9187 -2.5865 4.4012 -8.4783 2.0097" Properties=species:S:1:pos:R:3 pbc="T T T"
Be -0.3777 -5.5227 1.2363
Ir 0.0000 0.0000 0.0000
Ir 0.3932 -4.1394 -0.5395
Ir 1.4297 -5.6225 2.7807
Ir -2.5783 -1.2836 0.2315
Si -0.6695 -2.0923 -1.0247
Si 2.2006 -4.2392 1.0048
Si 2.4924 -7.6696 3.2659
Er -0.1922 -2.4981 2.0401
Er 2.0151 -7.2638 0.2011
```

Values from the calculation:
uncorrected energy = -74.4 eV for the cell shown

---

(3)
First-principles (PBE) data for a relaxed structure of Er2Be4Si3Ir, as listed in Alexandria.

Cell and atoms, written as extended XYZ:
```
10
Lattice="3.7774 0.0000 0.0000 0.0000 3.7774 0.0000 0.0000 0.0000 9.9032" Properties=species:S:1:pos:R:3 pbc="T T T"
Be 1.8887 0.0000 6.3101
Be 0.0000 1.8887 3.5930
Be 0.0000 0.0000 0.0000
Be 1.8887 1.8887 0.0000
Si 1.8887 0.0000 8.5834
Si 0.0000 0.0000 4.9516
Si 0.0000 1.8887 1.3198
Er 1.8887 0.0000 2.4357
Er 0.0000 1.8887 7.4675
Ir 1.8887 1.8887 4.9516
```

Values from the calculation:
uncorrected energy = -54.6 eV for the cell shown

---

(4)
First-principles (PBE) data for a relaxed structure of ErBe4SiIr2, as listed in Alexandria.

Cell and atoms, written as extended XYZ:
```
8
Lattice="-3.5680 0.0075 -1.6207 -1.5635 -3.3457 -1.3113 -4.9163 -2.3785 6.0743" Properties=species:S:1:pos:R:3 pbc="T T T"
Si -5.0239 -2.8583 1.5711
Be -6.3185 -3.8068 -0.3212
Be -5.9208 -3.2125 3.5440
Be -4.1270 -2.5042 -0.4018
Be -3.7294 -1.9098 3.4634
Er 0.0000 0.0000 0.0000
Ir -7.3372 -4.2090 1.9197
Ir -2.7106 -1.5076 1.2225
```

Values from the calculation:
uncorrected energy = -45.3 eV for the cell shown

---

(5)
First-principles (PBE) data for a relaxed structure of ErBe2SiIr, as listed in Alexandria.

Cell and atoms, written as extended XYZ:
```
5
Lattice="3.7955 0.0000 0.0000 0.0000 3.8527 0.0000 -1.8977 -1.9264 4.9889" Properties=species:S:1:pos:R:3 pbc="T T T"
Ir 0.0000 1.9264 1.8444
Si 1.8977 1.9264 3.2695
Er 0.0000 0.0000 4.4317
Be 0.0000 0.0000 0.6332
Be 1.8977 0.0000 1.9158
```

Values from the calculation:
uncorrected energy = -29.2 eV for the cell shown

---

(6)
First-principles (PBE) data for a relaxed structure of ErTh2Be3Ir4, as listed in Alexandria.

Cell and atoms, written as extended XYZ:
```
10
Lattice="4.1048 0.0000 0.0000 0.0000 4.1048 0.0000 0.0000 0.0000 10.5498" Properties=species:S:1:pos:R:3 pbc="T T T"
Ir 0.0000 0.0000 0.0000
Ir 2.0524 0.0000 7.0745
Ir 2.0524 2.0524 0.0000
Ir 0.0000 2.0524 3.4753
Th 0.0000 2.0524 8.2566
Th 2.0524 0.0000 2.2932
Be 2.0524 0.0000 9.4903
Be 0.0000 0.0000 5.2749
Be 0.0000 2.0524 1.0595
Er 2.0524 2.0524 5.2749
```

Values from the calculation:
uncorrected energy = -73.0 eV for the cell shown
ΔH_f (0 K) = -0.697 eV/atom

---

(7)
First-principles (PBE) data for a relaxed structure of ErTmBeIr, as listed in Alexandria.

Cell and atoms, written as extended XYZ:
```
4
Lattice="-2.2598 -2.1743 3.6153 2.4668 -2.7045 3.0831 0.6746 1.5031 4.4934" Properties=species:S:1:pos:R:3 pbc="T T T"
Er 0.6612 -2.5318 8.3938
Be 0.4408 -1.6879 5.5959
Tm 0.2204 -0.8439 2.7979
Ir 0.0000 0.0000 0.0000
```

Values from the calculation:
uncorrected energy = -23.5 eV for the cell shown
ΔH_f (0 K) = -0.465 eV/atom

---

(8)
First-principles (PBE) data for a relaxed structure of YErBeIr, as listed in Alexandria.

Cell and atoms, written as extended XYZ:
```
4
Lattice="4.8284 0.0000 0.0000 2.4142 4.1815 0.0000 2.4142 1.3938 3.9424" Properties=species:S:1:pos:R:3 pbc="T T T"
Ir 0.0000 0.0000 0.0000
Be 4.8284 2.7877 1.9712
Y 7.2426 4.1815 2.9568
Er 2.4142 1.3938 0.9856
```

Values from the calculation:
uncorrected energy = -25.3 eV for the cell shown
ΔH_f (0 K) = -0.423 eV/atom

---

(9)
First-principles (PBE) data for a relaxed structure of Er2BeZnIr2, as listed in Alexandria.

Cell and atoms, written as extended XYZ:
```
12
Lattice="5.6922 0.0000 0.0000 0.0000 5.6424 0.0000 -2.8461 -2.8212 6.7080" Properties=species:S:1:pos:R:3 pbc="T T T"
Be 2.8461 4.2318 0.0000
Be 2.8461 1.4106 0.0000
Ir 4.0352 0.0000 1.4860
Ir 1.6570 2.8212 1.4860
Ir -1.1891 2.8212 5.2220
Ir 1.1891 0.0000 5.2220
Zn 0.0000 4.2318 0.0000
Zn 0.0000 1.4106 0.0000
Er 1.2884 0.0000 2.2884
Er -1.5577 0.0000 4.4196
Er 4.4038 2.8212 2.2884
Er 1.5577 2.8212 4.4196
```

Values from the calculation:
uncorrected energy = -71.8 eV for the cell shown
ΔH_f (0 K) = -0.676 eV/atom

---

(10)
First-principles (PBE) data for a relaxed structure of Er2Be4ZnIr3, as listed in Alexandria.

Cell and atoms, written as extended XYZ:
```
10
Lattice="3.8814 0.0000 0.0000 0.0000 3.8814 0.0000 0.0000 0.0000 9.7694" Properties=species:S:1:pos:R:3 pbc="T T T"
Ir 0.0000 0.0000 4.8847
Ir 1.9407 0.0000 8.5179
Ir 0.0000 1.9407 1.2515
Be 0.0000 0.0000 0.0000
Be 1.9407 1.9407 0.0000
Be 0.0000 1.9407 3.5649
Be 1.9407 0.0000 6.2045
Zn 1.9407 1.9407 4.8847
Er 0.0000 1.9407 7.4055
Er 1.9407 0.0000 2.3639
```

Values from the calculation:
uncorrected energy = -57.5 eV for the cell shown
ΔH_f (0 K) = -0.562 eV/atom

---

(11)
First-principles (PBE) data for a relaxed structure of K2ErBe2O4, as listed in Alexandria.

Cell and atoms, written as extended XYZ:
```
9
Lattice="-0.6407 -1.1540 -3.0443 7.6513 -5.4197 0.4442 -3.8207 -3.1338 3.8004" Properties=species:S:1:pos:R:3 pbc="T T T"
Er 0.0000 0.0000 0.0000
K -0.7860 -4.8470 0.1945
K 3.9760 -4.8606 1.0058
O -1.0872 -1.8228 0.9198
O -2.6848 -3.8826 2.0369
O 5.8748 -5.8250 -0.8366
O 4.2772 -7.8848 0.2805
Be -2.4467 -2.4568 1.4462
Be 5.6366 -7.2508 -0.2460
```

Values from the calculation:
uncorrected energy = -54.5 eV for the cell shown

---

(12)
First-principles (PBE) data for a relaxed structure of KErBeO3, as listed in Alexandria.

Cell and atoms, written as extended XYZ:
```
12
Lattice="3.3357 0.0000 0.0000 0.0000 7.5905 -0.1082 0.0000 -2.0889 7.1980" Properties=species:S:1:pos:R:3 pbc="T T T"
Be 2.5018 6.2666 2.7487
Be 0.8339 -0.7650 4.3411
O 0.8339 -0.6923 5.8998
O 2.5018 -0.0621 3.8233
O 0.8339 2.3293 6.0896
O 2.5018 3.1722 1.0002
O 2.5018 6.1938 1.1900
O 0.8339 5.5636 3.2666
K 2.5018 4.5083 5.5357
K 0.8339 0.9932 1.5541
Er 2.5018 0.8406 5.9822
Er 0.8339 4.6610 1.1077
```

Values from the calculation:
uncorrected energy = -81.0 eV for the cell shown

---

(13)
First-principles (PBE) data for a relaxed structure of KErBeSe3, as listed in Alexandria.

Cell and atoms, written as extended XYZ:
```
12
Lattice="3.9848 0.0000 0.0000 0.0000 9.2330 -0.3225 0.0000 -2.7586 9.0679" Properties=species:S:1:pos:R:3 pbc="T T T"
Se 0.9962 -1.3064 7.6279
Se 2.9886 7.7808 1.1175
Se 0.9962 2.6813 7.3760
Se 0.9962 6.3069 3.9994
Se 2.9886 3.7931 1.3694
Se 2.9886 0.1675 4.7460
Er 0.9962 5.7692 1.1056
Er 2.9886 0.7052 7.6398
Be 0.9962 -0.9489 5.4429
Be 2.9886 7.4233 3.3026
K 2.9886 5.2451 6.7000
K 0.9962 1.2293 2.0455
```

Values from the calculation:
uncorrected energy = -56.5 eV for the cell shown

---

(14)
First-principles (PBE) data for a relaxed structure of KErBeTe3, as listed in Alexandria.

Cell and atoms, written as extended XYZ:
```
12
Lattice="-0.4783 -1.2861 -4.0215 4.7441 -8.4056 2.1239 -9.9958 -1.2382 1.5848" Properties=species:S:1:pos:R:3 pbc="T T T"
Te -5.8392 -5.8594 1.4459
Te -8.1132 -2.2681 0.5678
Te 2.3832 -8.6617 -0.8806
Te -4.7851 -3.1798 -1.7813
Te -0.9449 -7.7501 1.4685
Te 0.1092 -5.0705 -1.7587
Be -5.7690 -1.7331 0.1180
Be 0.0391 -9.1968 -0.4308
Er 1.6370 -6.1301 0.6433
Er -7.3669 -4.7998 -0.9561
K -1.4920 -2.3394 -0.1968
K -4.2379 -8.5905 -0.1160
```

Values from the calculation:
uncorrected energy = -49.6 eV for the cell shown

---

(15)
First-principles (PBE) data for a relaxed structure of LiErBe4, as listed in Alexandria.

Cell and atoms, written as extended XYZ:
```
6
Lattice="4.7677 0.0000 0.0000 2.3838 4.1289 0.0000 2.3838 1.3763 3.8928" Properties=species:S:1:pos:R:3 pbc="T T T"
Be 5.9770 3.4508 2.4401
Be 4.7677 2.7526 0.4653
Be 3.5584 3.4508 2.4401
Be 4.7677 1.3563 2.4401
Er 2.3838 1.3763 0.9732
Li 0.0000 0.0000 0.0000
```

Values from the calculation:
uncorrected energy = -20.6 eV for the cell shown
ΔH_f (0 K) = 0.123 eV/atom

---

(16)
First-principles (PBE) data for a relaxed structure of LiErBe, as listed in Alexandria.

Cell and atoms, written as extended XYZ:
```
6
Lattice="3.9112 0.0000 0.0000 0.0000 3.4384 0.0000 0.0000 1.7192 8.9324" Properties=species:S:1:pos:R:3 pbc="T T T"
Be 0.9778 1.7192 0.5158
Be 2.9334 3.4384 8.4167
Er 0.9778 1.7192 7.2298
Er 2.9334 3.4384 1.7026
Li 2.9334 3.4384 5.2026
Li 0.9778 1.7192 3.7299
```

Values from the calculation:
uncorrected energy = -19.9 eV for the cell shown
ΔH_f (0 K) = 0.076 eV/atom

---

(17)
First-principles (PBE) data for a relaxed structure of LiErMgBe, as listed in Alexandria.

Cell and atoms, written as extended XYZ:
```
4
Lattice="4.7097 0.0000 0.0000 2.3548 4.0787 0.0000 2.3548 1.3596 3.8454" Properties=species:S:1:pos:R:3 pbc="T T T"
Be 4.7097 2.7191 1.9227
Li 0.0000 0.0000 0.0000
Er 7.0645 4.0787 2.8841
Mg 2.3548 1.3596 0.9614
```

Values from the calculation:
uncorrected energy = -11.6 eV for the cell shown
ΔH_f (0 K) = 0.057 eV/atom

---

(18)
First-principles (PBE) data for a relaxed structure of LiEr4Be4Si2O14, as listed in Alexandria.

Cell and atoms, written as extended XYZ:
```
25
Lattice="2.5478 -6.8810 0.1248 6.7185 2.3439 -1.7954 1.1027 0.4827 4.7139" Properties=species:S:1:pos:R:3 pbc="T T T"
Er 3.7411 -1.3112 1.8267
Er 6.6288 1.1056 0.7924
Er 3.7752 -5.2060 2.1062
Er 6.6589 -2.7419 1.2910
O 5.9703 -0.5741 2.2298
O 7.6885 -4.3233 2.7594
O 2.3206 -1.7576 3.6537
O 4.7666 -3.2365 2.7840
O 8.4062 -3.8141 -0.0651
O 3.3852 0.5970 3.1636
O 2.7701 -3.5357 0.7449
O 0.9392 0.3685 3.8102
O 4.5372 0.3728 -0.0686
O 5.1190 -4.6770 0.2627
O 1.6695 -0.5229 1.1141
O 6.8709 -0.8023 -0.5439
O 8.7188 -2.0446 2.2851
O 4.7860 -2.1657 -0.0091
Be 9.1741 -3.5043 3.0910
Be 2.3558 -0.1741 4.2804
Be 4.0002 -3.5073 -0.3822
Be 5.1737 -0.9119 -0.9224
Li 6.1402 -3.0025 -1.0878
Si 1.2737 -3.4283 0.0695
Si 3.3514 1.1671 -0.8870
```

Values from the calculation:
uncorrected energy = -188.7 eV for the cell shown

---

(19)
First-principles (PBE) data for a relaxed structure of LiEr4Be4Si2O14, as listed in Alexandria.

Cell and atoms, written as extended XYZ:
```
25
Lattice="-3.8170 4.7269 -4.2249 -5.9457 -4.3807 0.4705 -1.4176 2.3431 3.9022" Properties=species:S:1:pos:R:3 pbc="T T T"
O -2.2139 2.2352 2.4579
O -7.9887 -0.0348 -1.1685
O -5.3223 1.7625 -1.8165
O -9.7901 1.8158 -0.0425
O -6.4006 4.1600 -0.7116
O -4.7418 2.3862 1.4934
O -5.6210 -2.8086 0.8642
O -3.2305 -1.7645 0.9444
O -4.7354 4.1363 -2.9842
O -5.3635 -0.5056 2.4665
O -5.0125 -0.4706 -0.3631
O -7.2839 1.7005 0.9817
O -2.6077 1.7591 -0.2909
O -3.0684 4.2807 1.0806
Er -3.4854 0.4191 1.4577
Er -7.7257 2.3212 -1.2249
Er -7.0124 -0.8151 0.7906
Er -4.1370 3.4534 -0.7279
Be -4.3545 -2.0521 -0.1249
Be -8.9269 1.4734 1.4716
Be -5.5176 2.5792 -3.3283
Be -3.5615 3.3781 2.2771
Li -0.7088 1.1715 1.9511
Si -4.8813 0.1731 -1.8772
Si 0.0000 0.0000 0.0000
```

Values from the calculation:
uncorrected energy = -189.1 eV for the cell shown

---

(20)
First-principles (PBE) data for a relaxed structure of LiEr4Be4Si2O14, as listed in Alexandria.

Cell and atoms, written as extended XYZ:
```
25
Lattice="-0.1299 -4.2334 -6.1581 3.4316 5.2124 -4.1129 4.4114 -1.8523 0.8726" Properties=species:S:1:pos:R:3 pbc="T T T"
O 1.3585 -1.9498 -4.0431
O 4.0380 0.2921 -8.3808
O 2.8254 1.9408 -3.2007
O 1.4774 -0.4213 -0.6271
O 3.8840 -2.4144 -1.8026
O 5.3887 0.5950 -4.3175
O 2.5129 0.1767 -5.1918
O 6.6542 0.5148 -7.1666
O 4.3157 -2.2509 -4.9337
O 2.1510 -1.8489 -6.6800
O 3.7265 2.3296 -5.7753
O 4.7340 -0.1601 -1.3145
O 6.7979 -0.4902 -9.5740
O 5.7206 -1.9612 -7.7027
Be 1.3770 -0.9128 -5.4853
Be 7.0724 -0.9304 -8.0187
Be 4.6836 -1.6705 -0.4405
Be 2.3798 1.7470 -4.9094
Li 3.0062 -0.8721 -1.2071
Er 4.8612 2.7790 -3.7427
Er 2.4503 -3.6153 -5.1272
Er 4.5628 -0.3469 -6.3435
Er 3.6744 -0.6243 -3.5154
Si 1.7321 2.5120 -2.0698
Si 0.0090 -2.0579 -3.0593
```

Values from the calculation:
uncorrected energy = -187.8 eV for the cell shown